## TaZn2Pt (GGA-PBE)

Data for an optimized crystal structure of TaZn2Pt.

a b c (Å): 3.899 3.900 4.125
angles (deg): 90.00 90.00 90.00
Fractional coordinates of all 4 atoms:
Zn 0.500 0.500 0.000
Zn 0.000 0.000 0.000
Ta 0.000 0.500 0.500
Pt 0.500 0.000 0.500

Calculated values
- energy above the most stable polymorph in this dataset (eV per formula unit) = 0.487
- final energy (eV/atom) = -5.31
- ΔE_f (meV per atom) = -203

## Ta2ZnPt (GGA-PBE)

Data for an optimized crystal structure of Ta2ZnPt.

a b c (Å): 2.844 2.844 8.164
angles (deg): 90.00 90.00 90.12
Fractional coordinates of all 4 atoms:
Zn 0.000 0.000 0.516
Ta 0.000 0.000 0.982
Ta 0.500 0.500 0.262
Pt 0.500 0.500 0.739

Calculated values
- energy above the most stable polymorph in this dataset (eV per formula unit) = 0.000
- final energy (eV/atom) = -8.07
- ΔE_f (meV per atom) = -312

- Among the records above, which one has the highest ΔE_f?
  TaZn2Pt

- Which formula does entry 1 have?
  TaZn2Pt

- Which formula does entry 2 have?
  Ta2ZnPt

- Which of these has the highest ΔE_f?
  TaZn2Pt